1.
Here is a geometry-optimized Tc2As6Ru structure from the Alexandria database. Energies are from PBE-GGA. Values from VASP.

As for the volume: 17.4 Å³/atom. As for the raw total energy: -118.9 eV per cell. As for the symmetry: No. 58. For the formation energy, the calculation gives -171 meV per atom.

Structure (Quantum ESPRESSO input):
```
&SYSTEM
  ibrav = 0, nat = 18, ntyp = 3
/
ATOMIC_SPECIES
Tc 98.00 Tc.upf
As 74.92 As.upf
Ru 101.07 Ru.upf
CELL_PARAMETERS angstrom
5.473 0.000 0.000
0.000 5.621 0.000
0.000 0.000 10.177
ATOMIC_POSITIONS crystal
Tc 0.000 0.000 0.137
Tc 0.000 0.000 0.863
Tc 0.500 0.500 0.363
Tc 0.500 0.500 0.637
As 0.159 0.301 0.500
As 0.203 0.822 0.333
As 0.203 0.822 0.667
As 0.297 0.322 0.167
As 0.297 0.322 0.833
As 0.341 0.801 0.000
As 0.659 0.199 0.000
As 0.703 0.678 0.167
As 0.703 0.678 0.833
As 0.797 0.178 0.333
As 0.797 0.178 0.667
As 0.841 0.699 0.500
Ru 0.000 0.500 0.000
Ru 0.500 0.000 0.500
```

---

2.
Here is a geometry-optimized Ca2ErCd2Pd5 structure from the Alexandria database. Energies are from PBE-GGA. Values from VASP.

As for the volume: 21.0 Å³/atom. As for the raw total energy: -84.5 eV per cell. As for the symmetry: No. 127. For the formation energy, the calculation gives -587 meV per atom.

Structure (Quantum ESPRESSO input):
```
&SYSTEM
  ibrav = 0, nat = 20, ntyp = 4
/
ATOMIC_SPECIES
Ca 40.08 Ca.upf
Er 167.26 Er.upf
Cd 112.41 Cd.upf
Pd 106.42 Pd.upf
CELL_PARAMETERS angstrom
10.483 0.000 0.000
0.000 10.483 0.000
0.000 0.000 3.829
ATOMIC_POSITIONS crystal
Ca 0.170 0.330 0.000
Ca 0.330 0.830 0.000
Ca 0.670 0.170 0.000
Ca 0.830 0.670 0.000
Er 0.000 0.000 0.000
Er 0.500 0.500 0.000
Cd 0.129 0.629 0.000
Cd 0.371 0.129 0.000
Cd 0.629 0.871 0.000
Cd 0.871 0.371 0.000
Pd 0.000 0.500 0.500
Pd 0.058 0.803 0.500
Pd 0.197 0.058 0.500
Pd 0.303 0.558 0.500
Pd 0.442 0.303 0.500
Pd 0.500 0.000 0.500
Pd 0.558 0.697 0.500
Pd 0.697 0.442 0.500
Pd 0.803 0.942 0.500
Pd 0.942 0.197 0.500
```

---

3.
Here is a geometry-optimized Tb2MgAu3 structure from the Alexandria database. Energies are from PBE-GGA. Values from VASP.

As for the volume: 21.9 Å³/atom. As for the raw total energy: -25.3 eV per cell. As for the symmetry: No. 123. For the formation energy, the calculation gives -762 meV per atom. For the polymorph energy (0 for the lowest one), the calculation gives 34 meV/atom.

Structure (Quantum ESPRESSO input):
```
&SYSTEM
  ibrav = 0, nat = 6, ntyp = 3
/
ATOMIC_SPECIES
Tb 158.93 Tb.upf
Mg 24.30 Mg.upf
Au 196.97 Au.upf
CELL_PARAMETERS angstrom
3.531 0.000 0.000
0.000 3.531 0.000
0.000 0.000 10.551
ATOMIC_POSITIONS crystal
Tb 0.000 0.000 0.177
Tb 0.000 0.000 0.823
Mg 0.000 0.000 0.500
Au 0.500 0.500 0.000
Au 0.500 0.500 0.347
Au 0.500 0.500 0.653
```

---

4.
Here is a geometry-optimized LiPmErLu structure from the Alexandria database. Energies are from PBE-GGA. Values from VASP.

As for the volume: 28.8 Å³/atom. As for the raw total energy: -15.1 eV per cell. As for the symmetry: No. 216. For the formation energy, the calculation gives 157 meV per atom.

Structure (Quantum ESPRESSO input):
```
&SYSTEM
  ibrav = 0, nat = 4, ntyp = 4
/
ATOMIC_SPECIES
Li 6.94 Li.upf
Pm 145.00 Pm.upf
Er 167.26 Er.upf
Lu 174.97 Lu.upf
CELL_PARAMETERS angstrom
0.000 3.860 3.860
3.860 0.000 3.860
3.860 3.860 0.000
ATOMIC_POSITIONS crystal
Li 0.000 0.000 0.000
Pm 0.750 0.750 0.750
Er 0.250 0.250 0.250
Lu 0.500 0.500 0.500
```

---

5.
Here is a geometry-optimized HfSbH2Pd structure from the Alexandria database. Energies are from PBE-GGA. Values from VASP.

As for the volume: 16.2 Å³/atom. As for the raw total energy: -24.7 eV per cell. As for the symmetry: No. 123.

Structure (Quantum ESPRESSO input):
```
&SYSTEM
  ibrav = 0, nat = 5, ntyp = 4
/
ATOMIC_SPECIES
Hf 178.49 Hf.upf
Sb 121.76 Sb.upf
H 1.01 H.upf
Pd 106.42 Pd.upf
CELL_PARAMETERS angstrom
3.889 0.000 0.000
0.000 3.889 0.000
0.000 0.000 5.339
ATOMIC_POSITIONS crystal
Hf 0.000 0.000 0.000
Sb 0.500 0.500 0.000
H 0.000 0.500 0.500
H 0.500 0.000 0.500
Pd 0.500 0.500 0.500
```

---

6.
Here is a geometry-optimized Ho5Se4S structure from the Alexandria database. Energies are from PBE-GGA. Values from VASP.

As for the volume: 23.1 Å³/atom. As for the raw total energy: -58.6 eV per cell. The formation energy (no corrections) comes out at -1.76 eV per atom. As for the symmetry: No. 139. For the polymorph energy (0 for the lowest one), the calculation gives 5 meV/atom.

Structure (Quantum ESPRESSO input):
```
&SYSTEM
  ibrav = 0, nat = 10, ntyp = 3
/
ATOMIC_SPECIES
Ho 164.93 Ho.upf
Se 78.96 Se.upf
S 32.06 S.upf
CELL_PARAMETERS angstrom
-2.002 2.002 14.394
2.002 -2.002 14.394
2.002 2.002 -14.394
ATOMIC_POSITIONS crystal
Ho 0.000 0.000 0.000
Ho 0.206 0.206 0.000
Ho 0.408 0.408 0.000
Ho 0.592 0.592 0.000
Ho 0.794 0.794 0.000
Se 0.102 0.102 0.000
Se 0.305 0.305 0.000
Se 0.695 0.695 0.000
Se 0.898 0.898 0.000
S 0.500 0.500 0.000
```

---

7.
Here is a geometry-optimized ScSiPt2 structure from the Alexandria database. Energies are from PBE-GGA. Values from VASP.

As for the volume: 17.1 Å³/atom. As for the raw total energy: -27.7 eV per cell. The formation energy (no corrections) comes out at -0.96 eV per atom. As for the symmetry: No. 160.

Structure (Quantum ESPRESSO input):
```
&SYSTEM
  ibrav = 0, nat = 4, ntyp = 3
/
ATOMIC_SPECIES
Sc 44.96 Sc.upf
Si 28.09 Si.upf
Pt 195.08 Pt.upf
CELL_PARAMETERS angstrom
2.073 1.197 4.603
-2.073 1.197 4.603
0.000 -2.394 4.603
ATOMIC_POSITIONS crystal
Sc 0.000 0.000 0.000
Si 0.802 0.802 0.802
Pt 0.216 0.216 0.216
Pt 0.432 0.432 0.432
```

---

8.
Here is a geometry-optimized AgIr3W structure from the Alexandria database. Energies are from PBE-GGA. Values from VASP.

As for the volume: 20.2 Å³/atom. As for the raw total energy: -28.7 eV per cell. As for the symmetry: No. 221. For the formation energy, the calculation gives 2745 meV per atom. For the polymorph energy (0 for the lowest one), the calculation gives 1183 meV/atom.

Structure (Quantum ESPRESSO input):
```
&SYSTEM
  ibrav = 0, nat = 5, ntyp = 3
/
ATOMIC_SPECIES
Ag 107.87 Ag.upf
Ir 192.22 Ir.upf
W 183.84 W.upf
CELL_PARAMETERS angstrom
4.658 0.000 0.000
0.000 4.658 0.000
0.000 0.000 4.658
ATOMIC_POSITIONS crystal
Ag 0.000 0.000 0.000
Ir 0.000 0.000 0.500
Ir 0.000 0.500 0.000
Ir 0.500 0.000 0.000
W 0.500 0.500 0.500
```

---

9.
Here is a geometry-optimized LiNi2CBr structure from the Alexandria database. Energies are from PBE-GGA. Values from VASP.

As for the volume: 12.8 Å³/atom. As for the raw total energy: -16.9 eV per cell. The formation energy (no corrections) comes out at 1.49 eV per atom. As for the symmetry: No. 123.

Structure (Quantum ESPRESSO input):
```
&SYSTEM
  ibrav = 0, nat = 5, ntyp = 4
/
ATOMIC_SPECIES
Li 6.94 Li.upf
Ni 58.69 Ni.upf
C 12.01 C.upf
Br 79.90 Br.upf
CELL_PARAMETERS angstrom
4.247 0.000 0.000
0.000 4.247 0.000
0.000 0.000 3.541
ATOMIC_POSITIONS crystal
Li 0.000 0.000 0.000
Ni 0.000 0.500 0.000
Ni 0.500 0.000 0.000
C 0.000 0.000 0.500
Br 0.500 0.500 0.500
```